Entry 1:
Ac6In2Au: optimized geometry, GGA-PBE.

extended XYZ file:
```
18
Lattice="-2.6643 8.3114 4.0451 -0.6758 -7.0273 6.5347 5.6808 2.3285 7.4059" Properties=species:S:1:pos:R:3 pbc="T T T"
Ac 0.6886 -0.7909 3.4685
Ac 3.2046 3.8066 9.5999
Ac 1.6522 4.4035 14.5172
Ac -0.4983 -3.6834 6.1849
Ac -0.4314 3.5127 7.3246
Ac -0.3458 2.6085 11.3644
Ac -0.8638 -0.1940 8.3859
Ac 2.7722 0.1000 10.6611
Ac 0.6973 3.0787 3.7494
Ac 2.8391 7.2961 11.8009
Ac 2.6866 1.0041 6.6214
Ac 1.6435 0.5339 14.2363
In 2.7056 4.4615 6.2077
In 0.2626 5.7989 9.6711
In 0.3110 6.1784 5.2433
In 2.0781 -2.1862 8.3147
Au -0.6758 -7.0272 6.5347
Au -1.6700 0.6421 5.2899
```

Computed properties:
relative energy among the computed polymorphs = 13 meV/atom
DFT total energy = -72.105 eV/cell

=====

Entry 2:
Sc3CrBr: optimized geometry, GGA-PBE.

extended XYZ file:
```
5
Lattice="-2.9966 -3.8652 0.8971 3.8088 -3.1172 -0.7076 1.1124 0.2607 4.8393" Properties=species:S:1:pos:R:3 pbc="T T T"
Br 0.0000 0.0000 0.0000
Cr 0.9623 -3.3608 2.5144
Sc 1.9044 -1.5586 -0.3538
Sc -1.4983 -1.9326 0.4485
Sc 0.5562 0.1304 2.4197
```

Computed properties:
relative energy among the computed polymorphs = 0 meV/atom
DFT total energy = -28.983 eV/cell

=====

Entry 3:
ScFeRuRh2: optimized geometry, GGA-PBE.

extended XYZ file:
```
5
Lattice="-3.4539 1.8311 -2.5103 -2.9710 -0.5841 3.6616 1.1025 4.2314 1.5696" Properties=species:S:1:pos:R:3 pbc="T T T"
Sc -1.4855 -0.2921 1.8308
Rh -1.7269 0.9155 -1.2551
Rh 0.5513 2.1157 0.7848
Ru 0.0000 0.0000 0.0000
Fe -2.6612 2.7392 1.3605
```

Computed properties:
DFT total energy = -32.270 eV/cell

=====

Entry 4:
KMg2GaCo: optimized geometry, GGA-PBE.

extended XYZ file:
```
5
Lattice="5.0062 0.0000 0.0000 0.0000 5.0062 0.0000 0.0000 0.0000 4.6659" Properties=species:S:1:pos:R:3 pbc="T T T"
Mg 2.5031 0.0000 0.0000
Mg 0.0000 2.5031 0.0000
K 2.5031 2.5031 2.3330
Co 0.0000 0.0000 0.0000
Ga 0.0000 0.0000 2.3330
```

Computed properties:
DFT total energy = -14.322 eV/cell

=====

Entry 5:
SrPrGaPb: optimized geometry, GGA-PBE.

extended XYZ file:
```
4
Lattice="-2.6576 0.5506 -4.8660 -5.5671 0.1861 -0.1283 -2.6002 4.7718 -1.2298" Properties=species:S:1:pos:R:3 pbc="T T T"
Pb -8.1187 4.1313 -4.6681
Sr -5.4124 2.7542 -3.1120
Ga -2.7062 1.3771 -1.5560
Pr 0.0000 0.0000 0.0000
```

Computed properties:
DFT total energy = -14.845 eV/cell

=====

Entry 6:
TlCd2: optimized geometry, GGA-PBE.

extended XYZ file:
```
6
Lattice="4.8824 -0.1341 0.0443 -2.3003 5.3080 0.1007 -0.1187 -2.2235 5.9761" Properties=species:S:1:pos:R:3 pbc="T T T"
Cd 1.2012 0.8023 4.4810
Cd 3.6373 -0.0228 2.5457
Cd -1.1738 2.9731 3.5754
Cd 1.2623 2.1480 1.6401
Tl -1.1141 4.2416 0.6622
Tl 3.5776 -1.2913 5.4589
```

Computed properties:
DFT total energy = -8.128 eV/cell